# PBE K3CeCd2O6, relaxed
# Energy relative to the elements, uncorrected: -1.68 eV per atom
data_K3CeCd2O6
_cell_length_a 5.952
_cell_length_b 10.528
_cell_length_c 6.547
_cell_angle_alpha 90.00
_cell_angle_beta 106.73
_cell_angle_gamma 90.00
_space_group_name_H-M_alt 'C 1 2/m 1'
_space_group_IT_number 12
_space_group_name_Hall '-C 2y'
loop_
_atom_site_label
_atom_site_type_symbol
_atom_site_fract_x
_atom_site_fract_y
_atom_site_fract_z
K1 K 0.000 0.000 0.000
K2 K 0.000 0.325 0.000
Ce1 Ce 0.000 0.500 0.500
Cd1 Cd 0.000 0.166 0.500
O1 O 0.231 0.340 0.695
O2 O 0.249 0.500 0.298